(1)
This record from the Alexandria database describes Cs2ZrInTe5 after structural relaxation. The functional is PBE.

Values from the calculation:
E_tot, Ha/atom: -0.1444

a = 11.6074 Å, b = 11.6074 Å, c = 16.3979 Å
α = 90.00°, β = 90.00°, γ = 158.90°
Positions (direct):
Cs 0.1328 0.8672 0.5000
Cs 0.1367 0.8633 0.1215
Cs 0.8633 0.1367 0.6215
Cs 0.8672 0.1328 0.0000
Zr 0.2099 0.7901 0.8217
Zr 0.7901 0.2099 0.3217
In 0.4302 0.5698 0.2340
In 0.5698 0.4302 0.7340
Te 0.0720 0.9280 0.8482
Te 0.2998 0.7002 0.4409
Te 0.3059 0.6941 0.1931
Te 0.3301 0.6699 0.8125
Te 0.4951 0.5049 0.0931
Te 0.5049 0.4951 0.5931
Te 0.6699 0.3301 0.3125
Te 0.6941 0.3059 0.6931
Te 0.7002 0.2998 0.9409
Te 0.9280 0.0720 0.3482

***

(2)
This record from the Alexandria database describes CsThIn2 after structural relaxation. The functional is PBE.

Values from the calculation:
E_tot, Ha/atom: -0.1286
ΔE_f, eV/atom: -0.061

a = 3.6119 Å, b = 3.6119 Å, c = 10.5688 Å
α = 90.00°, β = 90.00°, γ = 90.00°
Positions (direct):
Cs 0.0000 0.0000 0.0000
Th 0.0000 0.0000 0.5000
In 0.5000 0.5000 0.2885
In 0.5000 0.5000 0.7115

***

(3)
This record from the Alexandria database describes Cs2TiIn after structural relaxation. The functional is PBE.

Values from the calculation:
E_tot, Ha/atom: -0.0728
ΔE_f, eV/atom: 1.105

a = 9.0074 Å, b = 9.0074 Å, c = 9.0074 Å
α = 90.00°, β = 90.00°, γ = 90.00°
Positions (direct):
Cs 0.2500 0.2500 0.2500
Cs 0.2500 0.2500 0.7500
Cs 0.2500 0.7500 0.2500
Cs 0.2500 0.7500 0.7500
Cs 0.7500 0.2500 0.2500
Cs 0.7500 0.2500 0.7500
Cs 0.7500 0.7500 0.2500
Cs 0.7500 0.7500 0.7500
Ti 0.0000 0.0000 0.0000
Ti 0.0000 0.5000 0.5000
Ti 0.5000 0.0000 0.5000
Ti 0.5000 0.5000 0.0000
In 0.0000 0.0000 0.5000
In 0.0000 0.5000 0.0000
In 0.5000 0.0000 0.0000
In 0.5000 0.5000 0.5000

***

(4)
This record from the Alexandria database describes CsTiIn2 after structural relaxation. The functional is PBE.

Values from the calculation:
E_tot, Ha/atom: -0.1046
ΔE_f, eV/atom: 0.710

a = 7.8698 Å, b = 7.8698 Å, c = 7.8698 Å
α = 90.00°, β = 90.00°, γ = 90.00°
Positions (direct):
Cs 0.0000 0.0000 0.0000
Cs 0.0000 0.5000 0.5000
Cs 0.5000 0.0000 0.5000
Cs 0.5000 0.5000 0.0000
Ti 0.0000 0.0000 0.5000
Ti 0.0000 0.5000 0.0000
Ti 0.5000 0.0000 0.0000
Ti 0.5000 0.5000 0.5000
In 0.2500 0.2500 0.2500
In 0.2500 0.2500 0.7500
In 0.2500 0.7500 0.2500
In 0.2500 0.7500 0.7500
In 0.7500 0.2500 0.2500
In 0.7500 0.2500 0.7500
In 0.7500 0.7500 0.2500
In 0.7500 0.7500 0.7500

***

(5)
This record from the Alexandria database describes CsTiIn after structural relaxation. The functional is PBE.

Values from the calculation:
Energy relative to the lowest polymorph listed for this composition, meV per atom: 0
E_tot, Ha/atom: -0.1353
ΔE_f, eV/atom: 0.148

a = 3.8241 Å, b = 4.2865 Å, c = 13.5956 Å
α = 98.53°, β = 91.27°, γ = 90.02°
Positions (direct):
Cs 0.0000 0.0000 0.0000
Cs 0.4495 0.6937 0.3477
Ti 0.4693 0.8140 0.6015
Ti 0.9814 0.8821 0.7462
In 0.4835 0.3948 0.7735
In 0.9671 0.3012 0.5742

***

(6)
This record from the Alexandria database describes CsTiIn after structural relaxation. The functional is PBE.

Values from the calculation:
Energy relative to the lowest polymorph listed for this composition, meV per atom: 313
E_tot, Ha/atom: -0.1238
ΔE_f, eV/atom: 0.460

a = 13.6497 Å, b = 3.4077 Å, c = 10.0460 Å
α = 90.00°, β = 90.00°, γ = 90.00°
Positions (direct):
Cs 0.1541 0.2500 0.1038
Cs 0.3459 0.7500 0.6038
Cs 0.6541 0.2500 0.3962
Cs 0.8459 0.7500 0.8962
Ti 0.0688 0.7500 0.4760
Ti 0.4312 0.2500 0.9760
Ti 0.5688 0.7500 0.0240
Ti 0.9312 0.2500 0.5240
In 0.0851 0.2500 0.7206
In 0.4149 0.7500 0.2206
In 0.5851 0.2500 0.7794
In 0.9149 0.7500 0.2794

***

(7)
This record from the Alexandria database describes CsTiIn after structural relaxation. The functional is PBE.

Values from the calculation:
Energy relative to the lowest polymorph listed for this composition, meV per atom: 174
E_tot, Ha/atom: -0.1289
ΔE_f, eV/atom: 0.322

a = 5.0559 Å, b = 5.2770 Å, c = 8.6943 Å
α = 90.42°, β = 92.48°, γ = 97.95°
Positions (direct):
Cs 0.2345 0.2507 0.3562
Cs 0.7655 0.7493 0.6438
Ti 0.2873 0.8272 0.9939
Ti 0.7127 0.1728 0.0061
In 0.2355 0.3133 0.8739
In 0.7645 0.6867 0.1261

***

(8)
This record from the Alexandria database describes CsTiIn after structural relaxation. The functional is PBE.

Values from the calculation:
Energy relative to the lowest polymorph listed for this composition, meV per atom: 309
E_tot, Ha/atom: -0.1239
ΔE_f, eV/atom: 0.457

a = 13.0221 Å, b = 3.4223 Å, c = 10.3660 Å
α = 90.00°, β = 90.00°, γ = 90.00°
Positions (direct):
Cs 0.1669 0.2500 0.0830
Cs 0.3331 0.7500 0.5830
Cs 0.6669 0.2500 0.4170
Cs 0.8331 0.7500 0.9170
Ti 0.0587 0.2500 0.4415
Ti 0.4413 0.7500 0.9415
Ti 0.5587 0.2500 0.0585
Ti 0.9413 0.7500 0.5585
In 0.0790 0.2500 0.7191
In 0.4210 0.7500 0.2191
In 0.5790 0.2500 0.7809
In 0.9210 0.7500 0.2809

***

(9)
This record from the Alexandria database describes CsTl2In after structural relaxation. The functional is PBE.

Values from the calculation:
Energy relative to the lowest polymorph listed for this composition, meV per atom: 137
E_tot, Ha/atom: -0.0752
ΔE_f, eV/atom: 0.034

a = 8.2936 Å, b = 8.2936 Å, c = 8.2936 Å
α = 90.00°, β = 90.00°, γ = 90.00°
Positions (direct):
Cs 0.0000 0.0000 0.0000
Cs 0.0000 0.5000 0.5000
Cs 0.5000 0.0000 0.5000
Cs 0.5000 0.5000 0.0000
Tl 0.2500 0.2500 0.2500
Tl 0.2500 0.2500 0.7500
Tl 0.2500 0.7500 0.2500
Tl 0.2500 0.7500 0.7500
Tl 0.7500 0.2500 0.2500
Tl 0.7500 0.2500 0.7500
Tl 0.7500 0.7500 0.2500
Tl 0.7500 0.7500 0.7500
In 0.0000 0.0000 0.5000
In 0.0000 0.5000 0.0000
In 0.5000 0.0000 0.0000
In 0.5000 0.5000 0.5000

***

(10)
This record from the Alexandria database describes CsTl2In after structural relaxation. The functional is PBE.

Values from the calculation:
Energy relative to the lowest polymorph listed for this composition, meV per atom: 0
E_tot, Ha/atom: -0.0803
ΔE_f, eV/atom: -0.103

a = 7.0385 Å, b = 5.0719 Å, c = 9.2903 Å
α = 90.00°, β = 111.30°, γ = 90.00°
Positions (direct):
Cs 0.2064 0.2500 0.4139
Cs 0.7936 0.7500 0.5861
Tl 0.1441 0.2500 0.8935
Tl 0.3925 0.7500 0.7834
Tl 0.6075 0.2500 0.2166
Tl 0.8559 0.7500 0.1065
In 0.3211 0.7500 0.1111
In 0.6789 0.2500 0.8889

***

(11)
This record from the Alexandria database describes CsTlIn after structural relaxation. The functional is PBE.

Values from the calculation:
Energy relative to the lowest polymorph listed for this composition, meV per atom: 0
E_tot, Ha/atom: -0.0772
ΔE_f, eV/atom: -0.114

a = 5.0870 Å, b = 5.4204 Å, c = 18.3763 Å
α = 90.00°, β = 90.00°, γ = 90.00°
Positions (direct):
Cs 0.2486 0.0293 0.1708
Cs 0.2514 0.9707 0.6708
Cs 0.7486 0.4707 0.8292
Cs 0.7514 0.5293 0.3292
Tl 0.2483 0.9281 0.9075
Tl 0.2517 0.0719 0.4075
Tl 0.7483 0.5719 0.0925
Tl 0.7517 0.4281 0.5925
In 0.2484 0.4398 0.9980
In 0.2516 0.5602 0.4980
In 0.7484 0.0602 0.0020
In 0.7516 0.9398 0.5020

***

(12)
This record from the Alexandria database describes CsTlIn2 after structural relaxation. The functional is PBE.

Values from the calculation:
Energy relative to the lowest polymorph listed for this composition, meV per atom: 179
E_tot, Ha/atom: -0.0759
ΔE_f, eV/atom: 0.109

a = 8.2488 Å, b = 8.2488 Å, c = 8.2488 Å
α = 90.00°, β = 90.00°, γ = 90.00°
Positions (direct):
Cs 0.0000 0.0000 0.0000
Cs 0.0000 0.5000 0.5000
Cs 0.5000 0.0000 0.5000
Cs 0.5000 0.5000 0.0000
Tl 0.0000 0.0000 0.5000
Tl 0.0000 0.5000 0.0000
Tl 0.5000 0.0000 0.0000
Tl 0.5000 0.5000 0.5000
In 0.2500 0.2500 0.2500
In 0.2500 0.2500 0.7500
In 0.2500 0.7500 0.2500
In 0.2500 0.7500 0.7500
In 0.7500 0.2500 0.2500
In 0.7500 0.2500 0.7500
In 0.7500 0.7500 0.2500
In 0.7500 0.7500 0.7500

***

E_tot of number 1 (Cs2ZrInTe5)?
-0.1444 Ha/atom

***

Copy entry 11 word for word.
This record from the Alexandria database describes CsTlIn after structural relaxation. The functional is PBE.

Values from the calculation:
Energy relative to the lowest polymorph listed for this composition, meV per atom: 0
E_tot, Ha/atom: -0.0772
ΔE_f, eV/atom: -0.114

a = 5.0870 Å, b = 5.4204 Å, c = 18.3763 Å
α = 90.00°, β = 90.00°, γ = 90.00°
Positions (direct):
Cs 0.2486 0.0293 0.1708
Cs 0.2514 0.9707 0.6708
Cs 0.7486 0.4707 0.8292
Cs 0.7514 0.5293 0.3292
Tl 0.2483 0.9281 0.9075
Tl 0.2517 0.0719 0.4075
Tl 0.7483 0.5719 0.0925
Tl 0.7517 0.4281 0.5925
In 0.2484 0.4398 0.9980
In 0.2516 0.5602 0.4980
In 0.7484 0.0602 0.0020
In 0.7516 0.9398 0.5020

***

What is the E_tot in the fourth record?
-0.1046 Ha/atom

***

Number 6 is which compound?
CsTiIn